# La4CoCI2 | Alexandria via LeMat-Bulk | PBE | optimized geometry
# Density of states at the Fermi level: 5.031 states/eV/f.u.
# Raw formation energy: -651.9 meV/atom
# Spin magnetization: 0.000 μB/atom
# Electronic total energy: -44.4 eV for the cell shown
data_La4CoCI2
_space_group_name_H-M_alt 'P 1 2/m 1'
_space_group_IT_number 10
_cell_length_a 7.361
_cell_length_b 3.932
_cell_length_c 8.426
_cell_angle_alpha 90.00
_cell_angle_beta 107.06
_cell_angle_gamma 90.00
loop_
_space_group_symop_operation_xyz
'x,y,z'
'-x,-y,-z'
'-x,y,-z'
'x,-y,z'
loop_
_atom_site_label
_atom_site_fract_x
_atom_site_fract_y
_atom_site_fract_z
La1 0.198 0.000 0.179
La2 0.283 0.500 0.828
Co1 0.500 0.000 0.000
C1 0.000 0.500 0.000
I1 0.000 0.000 0.500
I2 0.500 0.500 0.500